Entry 1:
VASP calculation (GGA-PBE) on a relaxed structure of Th3TcI3.

a b c (Å): 4.1375 9.6208 12.6780
angles (deg): 92.41 90.00 90.00
Atoms (fractional coordinates):
I: 0.2500 0.8631 0.8849
Tc: 0.7500 0.1205 0.6228
Th: 0.2500 0.3091 0.6221
Th: 0.2500 0.8785 0.1612
Th: 0.7500 0.0837 0.3914
Th: 0.7500 0.6909 0.3779
I: 0.7500 0.1369 0.1151
I: 0.7500 0.6164 0.1221
I: 0.2500 0.3836 0.8779
Th: 0.7500 0.1215 0.8388
Tc: 0.2500 0.8795 0.3772
I: 0.7500 0.6127 0.6323
I: 0.2500 0.3873 0.3677
Th: 0.2500 0.9163 0.6086

Summary:
DFT total energy: -6.058 eV/atom
Space group: P2_1/m (11)
Energy relative to the elements, uncorrected: -733.1 meV/atom

Entry 2:
VASP calculation (GGA-PBE) on a relaxed structure of Th4TcI5.

a b c (Å): 4.1024 9.4121 10.0595
angles (deg): 102.42 101.77 90.00
Atoms (fractional coordinates):
I: 0.1678 0.3481 0.3355
Th: 0.9995 0.1999 0.9989
I: 0.8322 0.6519 0.6645
I: 0.1740 0.8150 0.3480
Tc: 0.5000 0.0000 0.0000
Th: 0.0005 0.8001 0.0011
I: 0.8260 0.1850 0.6520
I: 0.5000 0.5000 0.0000
Th: 0.3528 0.9274 0.7056
Th: 0.6472 0.0726 0.2944

Summary:
DFT total energy: -5.607 eV/atom
Space group: C2/m (12)
Energy relative to the elements, uncorrected: -827.6 meV/atom

Entry 3:
VASP calculation (GGA-PBE) on a relaxed structure of Ti2TcI.

a b c (Å): 5.8582 5.8582 7.4203
angles (deg): 66.75 66.75 90.00
Atoms (fractional coordinates):
I: 0.0000 0.0000 0.0000
Tc: 0.2500 0.7500 0.5000
Tc: 0.5000 0.5000 0.0000
Ti: 0.3750 0.4529 0.7500
Ti: 0.2029 0.6250 0.2500
I: 0.7500 0.2500 0.5000
Ti: 0.8750 0.7971 0.7500
Ti: 0.5471 0.1250 0.2500

Summary:
Polymorph energy (0 for the lowest one): 290 meV/atom
DFT total energy: -6.232 eV/atom
Space group: I-42d (122)
Energy relative to the elements, uncorrected: 694.9 meV/atom

Entry 4:
VASP calculation (GGA-PBE) on a relaxed structure of TiTcI.

a b c (Å): 5.3078 3.4359 11.3826
angles (deg): 63.39 73.15 49.65
Atoms (fractional coordinates):
Tc: 0.9395 0.0828 0.5994
Ti: 0.4395 0.0576 0.6164
Tc: 0.9397 0.2742 0.8074
I: 0.4395 0.8824 0.3975
Ti: 0.4398 0.2270 0.8391
I: 0.9400 0.4285 0.0399

Summary:
DFT total energy: -6.801 eV/atom
Space group: Pm (6)
Energy relative to the elements, uncorrected: -197.8 meV/atom

Entry 5:
VASP calculation (GGA-PBE) on a relaxed structure of TiTc3I.

a b c (Å): 4.7419 4.7419 4.7419
angles (deg): 90.00 90.00 90.00
Atoms (fractional coordinates):
Ti: 0.5000 0.5000 0.5000
I: 0.0000 0.0000 0.0000
Tc: 0.0000 0.0000 0.5000
Tc: 0.5000 0.0000 0.0000
Tc: 0.0000 0.5000 0.0000

Summary:
Polymorph energy (0 for the lowest one): 272 meV/atom
DFT total energy: -6.245 eV/atom
Space group: Pm-3m (221)
Energy relative to the elements, uncorrected: 1864.1 meV/atom

Entry 6:
VASP calculation (GGA-PBE) on a relaxed structure of TiTc3I.

a b c (Å): 4.6336 4.6336 4.6336
angles (deg): 90.00 90.00 90.00
Site moments in Bohr magnetons follow the coordinates.
Atoms (fractional coordinates):
Tc: 0.5000 0.0000 0.0000  0.26
Ti: 0.0000 0.0000 0.0000  -0.07
Tc: 0.0000 0.5000 0.0000  0.23
I: 0.5000 0.5000 0.5000  -0.04
Tc: 0.0000 0.0000 0.5000  0.22

Summary:
Polymorph energy (0 for the lowest one): 0 meV/atom
DFT total energy: -6.517 eV/atom
Space group: Pm-3m (221)
Energy relative to the elements, uncorrected: 1591.7 meV/atom

Entry 7:
VASP calculation (GGA-PBE) on a relaxed structure of Ti2TcI.

a b c (Å): 4.6314 4.6314 4.6314
angles (deg): 60.00 60.00 60.00
Atoms (fractional coordinates):
I: 0.5000 0.5000 0.5000
Ti: 0.2500 0.2500 0.2500
Tc: 0.0000 0.0000 0.0000
Ti: 0.7500 0.7500 0.7500

Summary:
Polymorph energy (0 for the lowest one): 0 meV/atom
DFT total energy: -6.522 eV/atom
Space group: Fm-3m (225)
Energy relative to the elements, uncorrected: 404.6 meV/atom

Entry 8:
VASP calculation (GGA-PBE) on a relaxed structure of TlTc2I.

a b c (Å): 7.4420 7.4420 6.1118
angles (deg): 52.50 52.50 90.00
Atoms (fractional coordinates):
Tc: 0.3750 0.4204 0.7500
I: 0.5000 0.5000 0.0000
Tc: 0.8750 0.8296 0.7500
Tc: 0.5796 0.1250 0.2500
Tc: 0.1704 0.6250 0.2500
Tl: 0.0000 0.0000 0.0000
I: 0.2500 0.7500 0.5000
Tl: 0.7500 0.2500 0.5000

Summary:
Polymorph energy (0 for the lowest one): 363 meV/atom
DFT total energy: -4.747 eV/atom
Space group: I-42d (122)
Energy relative to the elements, uncorrected: 1415.1 meV/atom